Sc2SiBr: relaxed, PBE.

Cell lengths 5.954, 5.954, 5.954 Å; angles 141.31, 141.31, 55.87 degrees
Sites, in units of the cell vectors:
Sc 0.000 0.000 0.000
Sc 0.750 0.250 0.500
Si 0.250 0.750 0.500
Br 0.500 0.500 0.000

Volume (Å³/cell): 81.9
Relative energy among the computed polymorphs (eV per atom): 0.519
Uncorrected energy (eV/atom): -5.32
Energy relative to the elements, uncorrected (eV per formula unit): -1.53

=====

Ti8Ga6Pd: relaxed, PBE.

Cell lengths 6.933, 6.933, 6.933 Å; angles 65.56, 65.56, 65.56 degrees
Sites, in units of the cell vectors:
Ti 0.044 0.384 0.728
Ti 0.165 0.165 0.165
Ti 0.272 0.956 0.616
Ti 0.384 0.728 0.044
Ti 0.616 0.272 0.956
Ti 0.728 0.044 0.384
Ti 0.835 0.835 0.835
Ti 0.956 0.616 0.272
Ga 0.121 0.764 0.445
Ga 0.236 0.555 0.879
Ga 0.445 0.121 0.764
Ga 0.555 0.879 0.236
Ga 0.764 0.445 0.121
Ga 0.879 0.236 0.555
Pd 0.500 0.500 0.500

Volume (Å³/cell): 264.1
E_form (eV/atom): -0.16
Uncorrected energy (eV/atom): -5.93

=====

Question: Number 1 is which compound?
Answer: Sc2SiBr

=====

What did the second record say?
Ti8Ga6Pd: relaxed, PBE.

Cell lengths 6.933, 6.933, 6.933 Å; angles 65.56, 65.56, 65.56 degrees
Sites, in units of the cell vectors:
Ti 0.044 0.384 0.728
Ti 0.165 0.165 0.165
Ti 0.272 0.956 0.616
Ti 0.384 0.728 0.044
Ti 0.616 0.272 0.956
Ti 0.728 0.044 0.384
Ti 0.835 0.835 0.835
Ti 0.956 0.616 0.272
Ga 0.121 0.764 0.445
Ga 0.236 0.555 0.879
Ga 0.445 0.121 0.764
Ga 0.555 0.879 0.236
Ga 0.764 0.445 0.121
Ga 0.879 0.236 0.555
Pd 0.500 0.500 0.500

Volume (Å³/cell): 264.1
E_form (eV/atom): -0.16
Uncorrected energy (eV/atom): -5.93